No. 1
LaC3Cl | PBE | relaxed

a = 4.867 Å, b = 4.867 Å, c = 4.867 Å
α = 90.00°, β = 90.00°, γ = 90.00°
Fractional coordinates of all 5 atoms:
1 C 0.000 0.500 0.000
2 C 0.000 0.000 0.500
3 C 0.500 0.000 0.000
4 Cl 0.500 0.500 0.500
5 La 0.000 0.000 0.000

E_tot: -3.888 eV per atom
D(E_F): 6.01 states/eV/cell
excess energy over the best structure of this formula in the dataset: 753 meV per atom
symmetry: Pm-3m
total magnetization: 4.1 μB/f.u.



No. 2
Li2LaTa | PBE | relaxed

a = 3.019 Å, b = 3.019 Å, c = 10.916 Å
α = 90.00°, β = 90.00°, γ = 116.55°
Fractional coordinates of all 4 atoms:
1 La 0.500 0.500 0.738
2 Li 0.000 0.000 0.021
3 Li 0.500 0.500 0.258
4 Ta 0.000 0.000 0.484

E_tot: -4.768 eV per atom
energy of formation: 0.38 eV per atom
D(E_F): 3.85 states/eV/cell
excess energy over the best structure of this formula in the dataset: 42 meV per atom
symmetry: Cmm2
total magnetization: 0.0 μB/f.u.



No. 3
LaTb2DyY6 | PBE | relaxed

a = 9.628 Å, b = 8.834 Å, c = 8.834 Å
α = 117.37°, β = 93.67°, γ = 93.67°
Fractional coordinates of all 20 atoms:
1 La 0.250 0.973 0.027
2 La 0.750 0.027 0.973
3 Tb 0.450 0.803 0.700
4 Tb 0.050 0.300 0.197
5 Tb 0.550 0.197 0.300
6 Tb 0.950 0.700 0.803
7 Dy 0.250 0.410 0.590
8 Dy 0.750 0.590 0.410
9 Y 0.058 0.122 0.749
10 Y 0.442 0.251 0.878
11 Y 0.942 0.878 0.251
12 Y 0.558 0.749 0.122
13 Y 0.318 0.985 0.437
14 Y 0.182 0.563 0.015
15 Y 0.682 0.015 0.563
16 Y 0.818 0.437 0.985
17 Y 0.116 0.706 0.489
18 Y 0.384 0.511 0.294
19 Y 0.884 0.294 0.511
20 Y 0.616 0.489 0.706

E_tot: -5.639 eV per atom
energy of formation: 0.12 eV per atom
D(E_F): 32.09 states/eV/cell
symmetry: C2/c
total magnetization: 0.0 μB/f.u.